[1]
Density functional theory data (GGA-PBE) for a relaxed structure of SrTbAl4.

Cell and atoms, written as extended XYZ:
```
6
Lattice="0.000 4.031 4.031 4.031 0.000 4.031 4.031 4.031 0.000" Properties=species:S:1:pos:R:3 pbc="T T T"
Sr 0.000 0.000 0.000
Tb 2.016 2.016 2.016
Al 5.035 3.027 3.027
Al 3.027 5.035 3.027
Al 3.027 3.027 5.035
Al 5.035 5.035 5.035
```

**Symmetry**: No. 216
**Calculated volume**: 21.83 Å³ per atom
**DFT formation energy**: -0.348 eV per atom

---

[2]
Density functional theory data (GGA-PBE) for a relaxed structure of La3Al2Ge3.

Cell and atoms, written as extended XYZ:
```
16
Lattice="2.162 -5.891 0.000 2.162 5.891 0.000 0.000 0.000 15.085" Properties=species:S:1:pos:R:3 pbc="T T T"
La 2.162 5.173 9.213
La 2.162 5.173 13.414
La 2.162 1.720 11.313
La 2.162 -1.720 3.771
La 2.162 -5.173 1.671
La 2.162 -5.173 5.871
Al 2.162 3.204 1.528
Al 2.162 3.204 6.014
Al 2.162 -3.204 9.070
Al 2.162 -3.204 13.556
Ge 2.162 1.668 3.771
Ge 2.162 1.540 8.194
Ge 2.162 1.540 14.433
Ge 2.162 -1.540 0.651
Ge 2.162 -1.540 6.891
Ge 2.162 -1.668 11.313
```

**Symmetry**: No. 63
**Energy relative to the lowest polymorph listed for this composition**: 0 meV per atom
**Calculated volume**: 24.01 Å³ per atom
**DFT formation energy**: -0.685 eV per atom

---

[3]
Density functional theory data (GGA-PBE) for a relaxed structure of FeBRh3.

Cell and atoms, written as extended XYZ:
```
10
Lattice="5.045 0.000 0.000 0.000 4.022 0.000 -1.964 0.000 6.078" Properties=species:S:1:pos:R:3 pbc="T T T"
Fe -0.033 1.005 1.922
Fe 3.114 3.016 4.156
B 2.042 1.005 0.735
B 1.039 3.016 5.343
Rh -0.437 1.005 4.737
Rh 1.015 3.016 0.482
Rh 0.650 3.016 3.298
Rh 2.431 1.005 2.780
Rh 2.066 1.005 5.596
Rh 3.518 3.016 1.341
```

**Symmetry**: No. 11
**Energy relative to the lowest polymorph listed for this composition**: 0 meV per atom
**Calculated volume**: 12.33 Å³ per atom
**DFT formation energy**: -0.071 eV per atom

---

[4]
Density functional theory data (GGA-PBE) for a relaxed structure of ScSi7Os3.

Cell and atoms, written as extended XYZ:
```
22
Lattice="3.806 2.197 6.597 -3.806 2.197 6.597 0.000 -4.395 6.597" Properties=species:S:1:pos:R:3 pbc="T T T"
Sc 0.000 0.000 0.000
Sc 0.000 0.000 9.896
Si -3.001 -0.913 10.483
Si -0.710 -3.055 9.310
Si -0.710 -1.339 7.184
Si 0.000 0.000 4.948
Si -2.291 2.143 9.310
Si -0.805 1.284 7.184
Si -1.515 -0.055 12.608
Si 1.515 0.055 7.184
Si 0.805 -1.284 12.608
Si 2.291 -2.143 10.483
Si 0.000 0.000 14.844
Si 0.710 1.339 12.608
Si 0.710 3.055 10.483
Si 3.001 0.913 9.310
Os -2.553 -0.028 8.247
Os -1.253 -2.225 11.546
Os 1.301 -2.197 8.247
Os -1.301 2.197 11.546
Os 1.253 2.225 8.247
Os 2.553 0.028 11.546
```

**Symmetry**: No. 167
**Calculated volume**: 15.05 Å³ per atom
**Electronic total energy**: -7.51 eV/atom